# 1
An optimized crystal structure of Ba2NaSiH. Source: Alexandria, functional GGA-PBE.

abc: 5.8607 5.8607 4.2006
angles: 90.00 90.00 90.00
With the nearest neighbours (Å) after each atom.
Space group P4/mmm (No. 123)
Symmetry-distinct sites (fractional):
Ba (0.0000, 0.5000, 0.0000) (multiplicity 2)  2 H 2.93
Na (0.0000, 0.0000, 0.5000) (multiplicity 1)  8 Ba 3.61
Si (0.5000, 0.5000, 0.5000) (multiplicity 1)  2 H 2.10
H (0.5000, 0.5000, 0.0000) (multiplicity 1)  2 Si 2.10

=====

# 2
An optimized crystal structure of Ba2NaSiH. Source: Alexandria, functional GGA-PBE.

abc: 5.4797 5.4797 4.6902
angles: 90.00 90.00 90.00
With the nearest neighbours (Å) after each atom.
Space group P4/mmm (No. 123)
Symmetry-distinct sites (fractional):
Ba (0.0000, 0.5000, 0.0000) (multiplicity 2)  2 H 2.74
Na (0.0000, 0.0000, 0.5000) (multiplicity 1)  2 H 2.35
Si (0.5000, 0.5000, 0.5000) (multiplicity 1)  8 Ba 3.61, 4 Na 3.87
H (0.0000, 0.0000, 0.0000) (multiplicity 1)  2 Na 2.35

=====

Summary of DFT total energy in eV per atom
-2.86 -3.01
(order as listed above)